Record 1
# La3MgMn, relaxed, DFT GGA-PBE
# - Formation energy: 0.0895 eV per atom
# - DFT total energy: -5.020 eV/atom
data_La3MgMn
_symmetry_space_group_name_H-M 'P m -3 m'
_symmetry_Int_Tables_number 221
_symmetry_space_group_name_Hall '-P 4 2 3'
_cell_length_a 5.3354
_cell_length_b 5.3354
_cell_length_c 5.3354
_cell_angle_alpha 90.00
_cell_angle_beta 90.00
_cell_angle_gamma 90.00
loop_
_atom_site_label
_atom_site_type_symbol
_atom_site_fract_x
_atom_site_fract_y
_atom_site_fract_z
La1 La 0.0000 0.0000 0.5000
Mg1 Mg 0.5000 0.5000 0.5000
Mn1 Mn 0.0000 0.0000 0.0000

***

Record 2
# TbSiHg, relaxed, DFT GGA-PBE
# - DFT total energy: -3.865 eV/atom
# - ΔE to the lowest computed polymorph: 125 meV/atom
data_TbSiHg
_symmetry_space_group_name_H-M 'P 3 m 1'
_symmetry_Int_Tables_number 156
_cell_length_a 4.3385
_cell_length_b 4.3385
_cell_length_c 4.1489
_cell_angle_alpha 90.00
_cell_angle_beta 90.00
_cell_angle_gamma 120.00
loop_
_symmetry_equiv_pos_as_xyz
'x,y,z'
'-y,x-y,z'
'-x+y,-x,z'
'-y,-x,z'
'-x+y,y,z'
'x,x-y,z'
loop_
_atom_site_label
_atom_site_type_symbol
_atom_site_fract_x
_atom_site_fract_y
_atom_site_fract_z
Tb1 Tb 0.0000 0.0000 0.0000
Si1 Si 0.3333 0.6667 0.4146
Hg1 Hg 0.6667 0.3333 0.5549

***

Record 3
# YBi2B, relaxed, DFT GGA-PBE
# - Formation energy: 0.2444 eV per atom
# - DFT total energy: -4.981 eV/atom
data_YBi2B
_symmetry_space_group_name_H-M 'I -4 2 d'
_symmetry_Int_Tables_number 122
_symmetry_space_group_name_Hall 'I -4 2bw'
_cell_length_a 7.3770
_cell_length_b 7.3770
_cell_length_c 7.6059
_cell_angle_alpha 90.00
_cell_angle_beta 90.00
_cell_angle_gamma 90.00
loop_
_atom_site_label
_atom_site_type_symbol
_atom_site_fract_x
_atom_site_fract_y
_atom_site_fract_z
Y1 Y 0.0000 0.0000 0.0000
Bi1 Bi 0.1653 0.7500 0.6250
B1 B 0.0000 0.0000 0.5000